[1]
ThScMnMo | PBE | relaxed

Unit cell a=4.8254 b=4.8254 c=4.8254 alpha=60.00 beta=60.00 gamma=60.00
With the nearest neighbours (Å) after each atom.
Element x y z (fractional)
1 Mn 0.2500 0.2500 0.2500  4 Sc 2.95, 4 Th 2.95
2 Th 0.5000 0.5000 0.5000  4 Mo 2.95, 4 Mn 2.95
3 Sc 0.0000 0.0000 0.0000  4 Mn 2.95, 4 Mo 2.95
4 Mo 0.7500 0.7500 0.7500  4 Th 2.95, 4 Sc 2.95

- Crystal system: cubic
- Volume: 19.86 A^3/atom
- Total moment: 0.60 μB/atom
- DFT formation energy: 0.692 eV per formula unit

---

[2]
NdSc3H | PBE | relaxed

Unit cell a=4.7119 b=4.7119 c=4.7119 alpha=90.00 beta=90.00 gamma=90.00
With the nearest neighbours (Å) after each atom.
Element x y z (fractional)
1 Sc 0.0000 0.0000 0.5000  2 H 2.36
2 Sc 0.0000 0.5000 0.0000  2 H 2.36
3 Sc 0.5000 0.0000 0.0000  2 H 2.36
4 Nd 0.5000 0.5000 0.5000  12 Sc 3.33
5 H 0.0000 0.0000 0.0000  6 Sc 2.36

- Crystal system: cubic
- Volume: 20.92 A^3/atom
- E_tot: -5.54 eV/atom
- Total moment: 0.00 μB/atom

---

[3]
SrTc3Ru | PBE | relaxed

Unit cell a=4.7653 b=4.7653 c=4.7653 alpha=90.00 beta=90.00 gamma=90.00
With the nearest neighbours (Å) after each atom.
Element x y z (fractional)
1 Tc 0.5000 0.0000 0.0000  2 Ru 2.38
2 Tc 0.0000 0.0000 0.5000  2 Ru 2.38
3 Tc 0.0000 0.5000 0.0000  2 Ru 2.38
4 Sr 0.5000 0.5000 0.5000  12 Tc 3.37
5 Ru 0.0000 0.0000 0.0000  6 Tc 2.38

- Relative energy among the computed polymorphs: 0.000 eV per atom
- Crystal system: cubic
- Volume: 21.64 A^3/atom
- Total moment: 0.19 μB/atom
- DFT formation energy: 6.248 eV per formula unit

---

[4]
HfScAs2 | PBE | relaxed

Unit cell a=4.7542 b=4.7542 c=4.7542 alpha=60.00 beta=60.00 gamma=60.00
With the nearest neighbours (Å) after each atom.
Element x y z (fractional)
1 As 0.7500 0.7500 0.7500  4 Hf 2.91, 4 Sc 2.91
2 As 0.2500 0.2500 0.2500  4 Hf 2.91, 4 Sc 2.91
3 Sc 0.0000 0.0000 0.0000  8 As 2.91
4 Hf 0.5000 0.5000 0.5000  8 As 2.91

- Relative energy among the computed polymorphs: 0.453 eV per atom
- Crystal system: cubic
- Volume: 19.00 A^3/atom
- Total moment: 0.19 μB/atom
- DFT formation energy: -2.957 eV per formula unit

---

[5]
NaCaDyAg | PBE | relaxed

Unit cell a=5.3878 b=5.3878 c=5.3878 alpha=60.00 beta=60.00 gamma=60.00
With the nearest neighbours (Å) after each atom.
Element x y z (fractional)
1 Ca 0.5000 0.5000 0.5000  4 Na 3.30, 4 Ag 3.30
2 Dy 0.0000 0.0000 0.0000  4 Ag 3.30, 4 Na 3.30
3 Na 0.7500 0.7500 0.7500  4 Dy 3.30, 4 Ca 3.30
4 Ag 0.2500 0.2500 0.2500  4 Dy 3.30, 4 Ca 3.30

- Crystal system: cubic
- Volume: 27.65 A^3/atom
- Total moment: 0.00 μB/atom
- DFT formation energy: 0.184 eV per formula unit